## P2OsSF (PBE-GGA)

Data for a relaxed structure of P2OsSF.

a b c (Å): 4.022 4.022 4.579
angles (deg): 90.00 90.00 90.00
Fractional coordinates of all 5 atoms:
Os 0.500 0.500 0.500
P 0.500 0.000 0.000
P 0.000 0.500 0.000
S 0.000 0.000 0.500
F 0.000 0.000 0.000

Calculated values
symmetry	P4/mmm (123)
formation energy without anion corrections	1182	meV per atom
ΔE to the lowest computed polymorph	0.734	eV per atom


## NaBi2Au (PBE-GGA)

Data for a relaxed structure of NaBi2Au.

a b c (Å): 4.899 4.899 9.449
angles (deg): 105.02 105.02 90.00
Fractional coordinates of all 8 atoms:
Bi 0.000 0.500 0.000
Bi 0.500 0.000 0.000
Bi 0.649 0.649 0.298
Bi 0.351 0.351 0.702
Na 0.141 0.141 0.281
Na 0.859 0.859 0.719
Au 0.750 0.250 0.500
Au 0.250 0.750 0.500

Calculated values
formation enthalpy at 0 K	-169.9	meV per atom
symmetry	I4/mmm (139)
ΔE to the lowest computed polymorph	0.004	eV per atom


## Na2MgH (PBE-GGA)

Data for a relaxed structure of Na2MgH.

a b c (Å): 6.876 6.876 6.492
angles (deg): 58.02 58.02 90.00
Fractional coordinates of all 8 atoms:
H 0.250 0.750 0.500
H 0.500 0.500 0.000
Na 0.375 0.527 0.750
Na 0.875 0.723 0.750
Na 0.473 0.125 0.250
Na 0.277 0.625 0.250
Mg 0.000 0.000 0.000
Mg 0.750 0.250 0.500

Calculated values
symmetry	I-42d (122)
ΔE to the lowest computed polymorph	0.000	eV per atom


## LiSi2Pd8 (PBE-GGA)

Data for a relaxed structure of LiSi2Pd8.

a b c (Å): 4.514 6.454 6.454
angles (deg): 111.68 99.53 99.53
Fractional coordinates of all 11 atoms:
Pd 0.096 0.327 0.075
Pd 0.314 0.618 0.618
Pd 0.500 0.237 0.763
Pd 0.686 0.382 0.382
Pd 0.904 0.925 0.673
Pd 0.096 0.075 0.327
Pd 0.904 0.673 0.925
Pd 0.500 0.763 0.237
Si 0.000 0.316 0.684
Si 0.000 0.684 0.316
Li 0.500 0.000 0.000

Calculated values
symmetry	C2/m (12)
formation energy without anion corrections	-486	meV per atom
ΔE to the lowest computed polymorph	0.000	eV per atom


## TiTlTe2 (PBE-GGA)

Data for a relaxed structure of TiTlTe2.

a b c (Å): 7.435 7.435 7.834
angles (deg): 61.67 61.67 90.00
Fractional coordinates of all 8 atoms:
Tl 0.000 0.000 0.000
Tl 0.750 0.250 0.500
Te 0.546 0.125 0.250
Te 0.204 0.625 0.250
Te 0.875 0.796 0.750
Te 0.375 0.454 0.750
Ti 0.250 0.750 0.500
Ti 0.500 0.500 0.000

Calculated values
symmetry	I-42d (122)
formation energy without anion corrections	-337	meV per atom


## LaVP2S (PBE-GGA)

Data for a relaxed structure of LaVP2S.

a b c (Å): 4.507 4.507 4.895
angles (deg): 90.00 90.00 90.00
Fractional coordinates of all 5 atoms:
P 0.000 0.500 0.000
P 0.500 0.000 0.000
V 0.000 0.000 0.000
S 0.000 0.000 0.500
La 0.500 0.500 0.500

Calculated values
symmetry	P4/mmm (123)
formation energy without anion corrections	-838	meV per atom
ΔE to the lowest computed polymorph	0.000	eV per atom


## K2CoTe (PBE-GGA)

Data for a relaxed structure of K2CoTe.

a b c (Å): 5.929 5.929 5.929
angles (deg): 129.12 129.12 74.82
Fractional coordinates of all 4 atoms:
Co 0.750 0.250 0.500
K 0.000 0.000 0.000
K 0.250 0.750 0.500
Te 0.500 0.500 0.000

Calculated values
symmetry	I-4m2 (119)
formation energy without anion corrections	299	meV per atom


## CrSi2N (PBE-GGA)

Data for a relaxed structure of CrSi2N.

a b c (Å): 5.537 5.537 5.149
angles (deg): 57.48 57.48 90.00
Fractional coordinates of all 8 atoms:
Si 0.543 0.125 0.250
Si 0.375 0.457 0.750
Si 0.875 0.793 0.750
Si 0.207 0.625 0.250
N 0.250 0.750 0.500
N 0.500 0.500 0.000
Cr 0.750 0.250 0.500
Cr 0.000 0.000 0.000

Calculated values
symmetry	I-42d (122)
formation energy without anion corrections	151	meV per atom


## YHfPdAu2 (PBE-GGA)

Data for a relaxed structure of YHfPdAu2.

a b c (Å): 5.178 4.886 5.178
angles (deg): 90.00 90.00 90.00
Fractional coordinates of all 5 atoms:
Hf 0.500 0.500 0.500
Au 0.000 0.000 0.500
Au 0.500 0.000 0.000
Pd 0.000 0.500 0.000
Y 0.000 0.000 0.000

Calculated values
formation enthalpy at 0 K	692.5	meV per atom
symmetry	P4/mmm (123)


## GaBiPbAu (PBE-GGA)

Data for a relaxed structure of GaBiPbAu.

a b c (Å): 5.205 5.205 5.205
angles (deg): 60.00 60.00 60.00
Fractional coordinates of all 4 atoms:
Ga 0.250 0.250 0.250
Bi 0.000 0.000 0.000
Au 0.750 0.750 0.750
Pb 0.500 0.500 0.500

Calculated values
formation enthalpy at 0 K	51.4	meV per atom
symmetry	F-43m (216)


## AlCr2MoH (PBE-GGA)

Data for a relaxed structure of AlCr2MoH.

a b c (Å): 3.816 3.816 3.909
angles (deg): 90.00 90.00 90.00
Fractional coordinates of all 5 atoms:
Cr 0.500 0.000 0.000
Cr 0.000 0.500 0.000
H 0.000 0.000 0.000
Al 0.500 0.500 0.500
Mo 0.000 0.000 0.500

Calculated values
E	-36.831	eV/cell
symmetry	P4/mmm (123)


## KSb2 (PBE-GGA)

Data for a relaxed structure of KSb2.

a b c (Å): 6.773 6.989 9.496
angles (deg): 90.00 90.00 90.00
Fractional coordinates of all 12 atoms:
K 0.750 0.300 0.530
K 0.750 0.800 0.970
K 0.250 0.200 0.030
K 0.250 0.700 0.470
Sb 0.250 0.201 0.390
Sb 0.750 0.819 0.329
Sb 0.750 0.799 0.610
Sb 0.250 0.701 0.110
Sb 0.250 0.181 0.671
Sb 0.250 0.681 0.829
Sb 0.750 0.319 0.171
Sb 0.750 0.299 0.890

Calculated values
symmetry	Pnma (62)
formation energy without anion corrections	-37	meV per atom


## KLi3Os (PBE-GGA)

Data for a relaxed structure of KLi3Os.

a b c (Å): 4.331 4.331 4.331
angles (deg): 90.00 90.00 90.00
Fractional coordinates of all 5 atoms:
Li 0.000 0.000 0.500
Li 0.500 0.000 0.000
Li 0.000 0.500 0.000
K 0.000 0.000 0.000
Os 0.500 0.500 0.500

Calculated values
formation enthalpy at 0 K	1446.0	meV per atom
symmetry	Pm-3m (221)
ΔE to the lowest computed polymorph	0.647	eV per atom


## Rb8AgAu5 (PBE-GGA)

Data for a relaxed structure of Rb8AgAu5.

a b c (Å): 9.161 9.161 9.161
angles (deg): 109.50 109.42 109.50
Fractional coordinates of all 14 atoms:
Rb 0.975 0.099 0.729
Rb 0.123 0.754 0.518
Rb 0.271 0.246 0.370
Rb 0.630 0.901 0.876
Rb 0.765 0.246 0.370
Rb 0.630 0.395 0.877
Rb 0.482 0.605 0.235
Rb 0.124 0.754 0.025
Au 0.752 0.624 0.627
Au 0.873 0.876 0.248
Au 0.373 0.124 0.997
Au 0.500 0.000 0.500
Au 0.003 0.376 0.127
Ag 0.250 0.500 0.750

Calculated values
formation enthalpy at 0 K	-196.4	meV per atom
symmetry	I-4 (82)


## PdPb5Au (PBE-GGA)

Data for a relaxed structure of PdPb5Au.

a b c (Å): 6.376 6.376 9.529
angles (deg): 87.80 87.80 88.62
Fractional coordinates of all 14 atoms:
Pb 0.383 0.934 0.332
Pb 0.750 0.600 0.492
Pb 0.066 0.617 0.168
Pb 0.600 0.750 0.992
Pb 0.815 0.185 0.250
Pb 0.617 0.066 0.668
Pb 0.185 0.815 0.750
Pb 0.250 0.400 0.508
Pb 0.934 0.383 0.832
Pb 0.400 0.250 0.008
Pd 0.493 0.507 0.250
Pd 0.507 0.493 0.750
Au 0.000 0.000 0.500
Au 0.000 0.000 0.000

Calculated values
formation enthalpy at 0 K	-51.8	meV per atom
symmetry	C2/c (15)
ΔE to the lowest computed polymorph	0.020	eV per atom


## TaReHg (PBE-GGA)

Data for a relaxed structure of TaReHg.

a b c (Å): 4.661 4.661 2.816
angles (deg): 90.00 90.00 120.00
Fractional coordinates of all 3 atoms:
Ta 0.333 0.667 0.626
Hg 0.000 0.000 0.010
Re 0.667 0.333 0.364

Calculated values
formation enthalpy at 0 K	397.3	meV per atom
symmetry	P3m1 (156)
ΔE to the lowest computed polymorph	0.109	eV per atom


## GdPuNiIr (PBE-GGA)

Data for a relaxed structure of GdPuNiIr.

a b c (Å): 4.842 4.842 4.842
angles (deg): 60.00 60.00 60.00
Fractional coordinates of all 4 atoms:
Pu 0.250 0.250 0.250
Gd 0.750 0.750 0.750
Ir 0.500 0.500 0.500
Ni 0.000 0.000 0.000

Calculated values
formation enthalpy at 0 K	-390.5	meV per atom
symmetry	F-43m (216)


## Pu8CoGe3 (PBE-GGA)

Data for a relaxed structure of Pu8CoGe3.

a b c (Å): 8.462 7.184 5.622
angles (deg): 67.41 89.29 125.75
Fractional coordinates of all 12 atoms:
Pu 0.658 0.529 0.125
Pu 0.923 0.463 0.144
Pu 0.257 0.000 0.157
Pu 0.460 0.537 0.607
Pu 0.163 0.000 0.732
Pu 0.129 0.471 0.654
Pu 0.552 0.000 0.021
Pu 0.862 0.000 0.618
Co 0.909 0.000 0.160
Ge 0.253 0.417 0.169
Ge 0.837 0.583 0.586
Ge 0.498 0.000 0.530

Calculated values
formation enthalpy at 0 K	-149.7	meV per atom
symmetry	Cm (8)


## Pm4Te2SN2 (PBE-GGA)

Data for a relaxed structure of Pm4Te2SN2.

a b c (Å): 4.091 7.482 8.055
angles (deg): 107.48 104.71 90.00
Fractional coordinates of all 9 atoms:
Pm 0.790 0.848 0.581
Pm 0.210 0.152 0.419
Pm 0.540 0.770 0.080
Pm 0.460 0.230 0.920
S 0.000 0.000 0.000
N 0.326 0.016 0.653
N 0.674 0.984 0.347
Te 0.131 0.536 0.262
Te 0.869 0.464 0.738

Calculated values
symmetry	C2/m (12)
formation energy without anion corrections	-1629	meV per atom


## AcAs3Rh3 (PBE-GGA)

Data for a relaxed structure of AcAs3Rh3.

a b c (Å): 6.754 6.754 6.754
angles (deg): 90.00 90.00 90.00
Fractional coordinates of all 14 atoms:
As 0.000 0.750 0.500
As 0.500 0.000 0.250
As 0.000 0.250 0.500
As 0.750 0.500 0.000
As 0.250 0.500 0.000
As 0.500 0.000 0.750
Rh 0.750 0.000 0.500
Rh 0.250 0.000 0.500
Rh 0.000 0.500 0.750
Rh 0.500 0.750 0.000
Rh 0.000 0.500 0.250
Rh 0.500 0.250 0.000
Ac 0.000 0.000 0.000
Ac 0.500 0.500 0.500

Calculated values
formation enthalpy at 0 K	-558.1	meV per atom
symmetry	Pm-3n (223)


## Pm8Pr3Nd (PBE-GGA)

Data for a relaxed structure of Pm8Pr3Nd.

a b c (Å): 8.738 8.743 8.715
angles (deg): 94.20 136.85 101.32
Fractional coordinates of all 12 atoms:
Pm 0.833 0.081 0.252
Pm 0.500 0.169 0.331
Pm 0.169 0.416 0.253
Pm 0.168 0.916 0.753
Pm 0.165 0.834 0.330
Pm 0.500 0.670 0.830
Pm 0.164 0.334 0.830
Pm 0.833 0.581 0.753
Pr 0.498 0.749 0.251
Pr 0.835 0.502 0.334
Pr 0.498 0.248 0.750
Nd 0.835 0.002 0.834

Calculated values
formation enthalpy at 0 K	30.2	meV per atom
symmetry	P1 (1)


For each record above, in turn, the calculated spin magnetization values are 0.000 0.000 0.000 0.000 0.250 0.000 0.572 0.731 0.014 0.000 0.366 0.000 0.000 0.000 0.000 0.000 0.407 0.131 0.000 0.000 0.000 μB/atom.